[1]
{
  "formula": "Rb3InTe3",
  "functional": "GGA-PBE",
  "state": "relaxed",
  "magmom_total_mub_per_atom": 0.000,
  "dos_ef_per_ev_fu": 0.0,
  "final_energy_ev_per_atom": -3.036,
  "sg": "No. 12",
  "lattice": [[-6.136, -6.684, 0.876], [7.168, -2.348, -5.117], [3.944, -1.368, 7.764]],
  "species": ["Rb", "Rb", "Rb", "Rb", "Rb", "Rb", "In", "In", "Te", "Te", "Te", "Te", "Te", "Te"],
  "fractional_positions": [[0.604, 0.604, 0.354], [0.174, 0.826, 0.500], [0.826, 0.174, 0.500], [0.235, 0.765, 0.000], [0.765, 0.235, 0.000], [0.396, 0.396, 0.646], [0.823, 0.823, 0.850], [0.177, 0.177, 0.150], [0.895, 0.895, 0.183], [0.848, 0.545, 0.719], [0.545, 0.848, 0.719], [0.152, 0.455, 0.281], [0.455, 0.152, 0.281], [0.105, 0.105, 0.817]]
}


[2]
{
  "formula": "RbTh2In3Te6",
  "functional": "GGA-PBE",
  "state": "relaxed",
  "magmom_total_mub_per_atom": 0.000,
  "final_energy_ev_per_atom": -4.357,
  "sg": "No. 12",
  "lattice": [[4.619, 0.000, 0.000], [0.000, 9.836, 0.379], [-2.310, -2.818, 10.135]],
  "species": ["Rb", "Th", "Th", "In", "In", "In", "Te", "Te", "Te", "Te", "Te", "Te"],
  "fractional_positions": [[0.500, 0.000, 0.000], [0.830, 0.666, 0.660], [0.170, 0.334, 0.340], [0.500, 0.500, 0.000], [0.842, 0.174, 0.684], [0.158, 0.826, 0.316], [0.317, 0.877, 0.634], [0.671, 0.565, 0.342], [0.683, 0.123, 0.366], [0.025, 0.282, 0.051], [0.975, 0.718, 0.949], [0.329, 0.435, 0.658]]
}


[3]
{
  "formula": "Rb3Th2InTe6",
  "functional": "GGA-PBE",
  "state": "relaxed",
  "magmom_total_mub_per_atom": 0.000,
  "final_energy_ev_per_atom": -4.364,
  "sg": "No. 12",
  "lattice": [[-0.206, -1.260, 4.515], [1.268, -9.807, -2.680], [10.038, 4.576, -0.703]],
  "species": ["Rb", "Rb", "Rb", "Th", "Th", "In", "Te", "Te", "Te", "Te", "Te", "Te"],
  "fractional_positions": [[0.500, 0.500, 0.000], [0.845, 0.161, 0.689], [0.155, 0.839, 0.311], [0.835, 0.667, 0.671], [0.165, 0.333, 0.329], [0.500, 0.000, 0.000], [0.331, 0.870, 0.662], [0.678, 0.556, 0.357], [0.669, 0.130, 0.338], [0.021, 0.249, 0.042], [0.979, 0.751, 0.958], [0.322, 0.444, 0.643]]
}